This record from the Alexandria database describes a relaxed Hf2CoHRh crystal. The functional is PBE.

```
Hf2CoHRh
1.0
-4.360 0.032 -0.833
-0.245 -4.289 1.119
-0.637 0.916 3.372
Rh H Co Hf
1 1 1 2
Direct
0.000 0.000 0.500
0.000 0.000 0.000
0.500 0.500 0.500
0.500 0.000 0.000
0.000 0.500 0.000
```

Values from the calculation:
Calculated volume = 70 Å³/cell
Energy above the lowest structure with this stoichiometry = 120 meV per atom
Energy = -39.829 eV/cell
Total magnetization = 1.0 Bohr magnetons per cell
D(E_F) = 4.2 states/eV per cell

---

This record from the Alexandria database describes a relaxed HfCoHRu2 crystal. The functional is PBE.

```
HfCoHRu2
1.0
-2.439 -2.893 0.742
1.636 -0.492 3.457
-2.647 2.650 1.630
H Co Ru Hf
1 1 2 1
Direct
0.000 0.000 0.000
0.500 0.500 0.500
0.000 0.500 0.000
0.500 0.000 0.000
0.000 0.000 0.500
```

Values from the calculation:
Calculated volume = 61 Å³/cell
Energy above the lowest structure with this stoichiometry = 78 meV per atom
Energy = -39.844 eV/cell
Total magnetization = 0.1 Bohr magnetons per cell
D(E_F) = 4.9 states/eV per cell

---

> calculated volume of number 2 (HfCoHRu2)?

61 Å³/cell

---

> The highest total magnetization belongs to which entry?

Hf2CoHRh

---

> Among the records above, which one has the highest calculated volume?

Hf2CoHRh